No. 1
# PBE La2AlO, optimized geometry
data_La2AlO
_cell_length_a 7.248
_cell_length_b 7.248
_cell_length_c 6.548
_cell_angle_alpha 56.39
_cell_angle_beta 56.39
_cell_angle_gamma 90.00
_symmetry_space_group_name_H-M 'P 1'
_symmetry_Int_Tables_number 1
_symmetry_space_group_name_Hall 'P 1'
loop_
_atom_site_label
_atom_site_fract_x
_atom_site_fract_y
_atom_site_fract_z
Al1 0.000 0.000 0.000
La1 0.375 0.467 0.750
La2 0.875 0.783 0.750
Al2 0.750 0.250 0.500
La3 0.217 0.625 0.250
O1 0.250 0.750 0.500
O2 0.500 0.500 0.000
La4 0.533 0.125 0.250
# formation energy without anion corrections = -1.376 eV/atom
# excess energy over the best structure of this formula in the dataset = 38 meV/atom
# symmetry = No. 122
# final energy = -6.02 eV/atom



No. 2
# PBE La3AlO, optimized geometry
data_La3AlO
_cell_length_a 4.678
_cell_length_b 4.678
_cell_length_c 16.183
_cell_angle_alpha 90.00
_cell_angle_beta 90.00
_cell_angle_gamma 120.00
_symmetry_space_group_name_H-M 'P 1'
_symmetry_Int_Tables_number 1
_symmetry_space_group_name_Hall 'P 1'
loop_
_atom_site_label
_atom_site_fract_x
_atom_site_fract_y
_atom_site_fract_z
Al1 0.333 0.667 0.750
La1 0.667 0.333 0.437
O1 0.000 0.000 0.500
La2 0.333 0.667 0.563
Al2 0.667 0.333 0.250
La3 0.000 0.000 0.750
La4 0.667 0.333 0.063
La5 0.000 0.000 0.250
O2 0.000 0.000 0.000
La6 0.333 0.667 0.937
# formation energy without anion corrections = -0.292 eV/atom
# symmetry = No. 194
# final energy = -4.99 eV/atom